(1)
Here is crystalline ThBPt4 at its relaxed geometry from the Alexandria database. Energies are from PBE-GGA.

Cell lengths 5.6255, 5.7403, 7.8569 Å; angles 110.77, 110.97, 90.01 degrees
Fractional positions:
Th  0.2401  0.2411  0.4764
Th  0.7599  0.7589  0.5236
B  0.0000  0.5000  0.0000
B  0.5000  0.0000  0.0000
Pt  0.1633  0.6990  0.3122
Pt  0.1681  0.1705  0.0062
Pt  0.3391  0.6690  0.0064
Pt  0.3457  0.7910  0.6891
Pt  0.6543  0.2090  0.3109
Pt  0.6609  0.3310  0.9936
Pt  0.8319  0.8295  0.9938
Pt  0.8367  0.3010  0.6878

Values from the calculation:
symmetry = No. 2
DFT formation energy = -0.728 eV per atom

---

(2)
Here is crystalline SmH4Ru at its relaxed geometry from the Alexandria database. Energies are from PBE-GGA.

Cell lengths 6.2783, 6.2783, 4.8943 Å; angles 90.00, 90.00, 144.04 degrees
Fractional positions:
Sm  0.1299  0.8701  0.7500
Sm  0.8701  0.1299  0.2500
H  0.0970  0.9030  0.2500
H  0.3023  0.6977  0.0002
H  0.3023  0.6977  0.4998
H  0.5000  0.5000  0.0000
H  0.5000  0.5000  0.5000
H  0.6977  0.3023  0.9998
H  0.6977  0.3023  0.5002
H  0.9030  0.0970  0.7500
Ru  0.3998  0.6002  0.7500
Ru  0.6002  0.3998  0.2500

Values from the calculation:
symmetry = No. 63
E_tot = -5.024 eV/atom

---

(3)
Here is crystalline LaScCr3 at its relaxed geometry from the Alexandria database. Energies are from PBE-GGA.

Cell lengths 4.8695, 4.8695, 4.8695 Å; angles 90.00, 90.00, 90.00 degrees
Fractional positions:
La  0.0000  0.0000  0.0000
Sc  0.5000  0.5000  0.5000
Cr  0.0000  0.5000  0.5000
Cr  0.5000  0.0000  0.5000
Cr  0.5000  0.5000  0.0000

Values from the calculation:
symmetry = No. 221
DFT formation energy = 1.118 eV per atom

---

(4)
Here is crystalline CePuCuAu at its relaxed geometry from the Alexandria database. Energies are from PBE-GGA.

Cell lengths 4.8562, 4.8562, 4.8562 Å; angles 60.00, 60.00, 60.00 degrees
Fractional positions:
Ce  0.0000  0.0000  0.0000
Pu  0.2500  0.2500  0.2500
Cu  0.5000  0.5000  0.5000
Au  0.7500  0.7500  0.7500

Values from the calculation:
symmetry = No. 216
DFT formation energy = -0.312 eV per atom

---

(5)
Here is crystalline Pr3Al6Pt5 at its relaxed geometry from the Alexandria database. Energies are from PBE-GGA.

Cell lengths 4.3155, 13.0281, 9.5523 Å; angles 90.00, 90.00, 90.00 degrees
Fractional positions:
Pr  0.2500  0.0528  0.2481
Pr  0.2500  0.4472  0.2481
Pr  0.2500  0.7500  0.2572
Pr  0.7500  0.2500  0.7428
Pr  0.7500  0.5528  0.7519
Pr  0.7500  0.9472  0.7519
Al  0.2500  0.0680  0.5857
Al  0.2500  0.2500  0.0403
Al  0.2500  0.2500  0.4264
Al  0.2500  0.4320  0.5857
Al  0.2500  0.5973  0.9804
Al  0.2500  0.9027  0.9804
Al  0.7500  0.0973  0.0196
Al  0.7500  0.4027  0.0196
Al  0.7500  0.5680  0.4143
Al  0.7500  0.7500  0.5736
Al  0.7500  0.7500  0.9597
Al  0.7500  0.9320  0.4143
Pt  0.2500  0.0939  0.8727
Pt  0.2500  0.4061  0.8727
Pt  0.2500  0.6339  0.5360
Pt  0.2500  0.7500  0.8017
Pt  0.2500  0.8661  0.5360
Pt  0.7500  0.1339  0.4640
Pt  0.7500  0.2500  0.1983
Pt  0.7500  0.3661  0.4640
Pt  0.7500  0.5939  0.1273
Pt  0.7500  0.9061  0.1273

Values from the calculation:
symmetry = No. 59
DFT formation energy = -1.045 eV per atom

---

(6)
Here is crystalline KSc2As2 at its relaxed geometry from the Alexandria database. Energies are from PBE-GGA.

Cell lengths 7.6205, 7.6205, 7.6205 Å; angles 144.50, 144.50, 51.09 degrees
Fractional positions:
K  0.0000  0.0000  0.0000
Sc  0.2500  0.7500  0.5000
Sc  0.7500  0.2500  0.5000
As  0.3484  0.3484  0.0000
As  0.6516  0.6516  0.0000

Values from the calculation:
symmetry = No. 139
DFT formation energy = -0.907 eV per atom

---

(7)
Here is crystalline CsK2RbPd at its relaxed geometry from the Alexandria database. Energies are from PBE-GGA.

Cell lengths 6.6306, 6.6306, 6.9532 Å; angles 90.00, 90.00, 90.00 degrees
Fractional positions:
Cs  0.0000  0.0000  0.0000
K  0.0000  0.5000  0.5000
K  0.5000  0.0000  0.5000
Rb  0.5000  0.5000  0.0000
Pd  0.0000  0.0000  0.5000

Values from the calculation:
symmetry = No. 123
DFT formation energy = 0.078 eV per atom

---

(8)
Here is crystalline Ca2PSe2 at its relaxed geometry from the Alexandria database. Energies are from PBE-GGA.

Cell lengths 5.6687, 5.6687, 5.6687 Å; angles 120.60, 120.60, 88.97 degrees
Fractional positions:
Ca  0.2500  0.7500  0.5000
Ca  0.7500  0.2500  0.5000
P  0.0000  0.0000  0.0000
Se  0.3274  0.3274  0.0000
Se  0.6726  0.6726  0.0000

Values from the calculation:
symmetry = No. 139
E_form (uncorrected) = -1.031 eV/atom

---

(9)
Here is crystalline Ru2S2N at its relaxed geometry from the Alexandria database. Energies are from PBE-GGA.

Cell lengths 5.9112, 5.9112, 5.9112 Å; angles 142.66, 142.66, 53.83 degrees
Fractional positions:
Ru  0.1231  0.1231  0.0000
Ru  0.8769  0.8769  0.0000
S  0.2500  0.7500  0.5000
S  0.7500  0.2500  0.5000
N  0.5000  0.5000  0.0000

Values from the calculation:
symmetry = No. 139
E_form (uncorrected) = 1.184 eV/atom

---

(10)
Here is crystalline RbInTc2P at its relaxed geometry from the Alexandria database. Energies are from PBE-GGA.

Cell lengths 4.5820, 4.5820, 5.8226 Å; angles 90.00, 90.00, 90.00 degrees
Fractional positions:
Rb  0.0000  0.0000  0.0000
In  0.5000  0.5000  0.0000
Tc  0.0000  0.5000  0.5000
Tc  0.5000  0.0000  0.5000
P  0.0000  0.0000  0.5000

Values from the calculation:
symmetry = No. 123
DFT formation energy = 0.846 eV per atom

---

(11)
Here is crystalline ThCuHg at its relaxed geometry from the Alexandria database. Energies are from PBE-GGA.

Cell lengths 13.4262, 4.0004, 7.6147 Å; angles 90.00, 90.00, 90.00 degrees
Fractional positions:
Th  0.0459  0.0000  0.2401
Th  0.2500  0.0000  0.8544
Th  0.4541  0.0000  0.2401
Th  0.5459  0.0000  0.7599
Th  0.7500  0.0000  0.1456
Th  0.9541  0.0000  0.7599
Cu  0.0890  0.5000  0.9489
Cu  0.2500  0.0000  0.4450
Cu  0.4110  0.5000  0.9489
Cu  0.5890  0.5000  0.0511
Cu  0.7500  0.0000  0.5550
Cu  0.9110  0.5000  0.0511
Hg  0.1204  0.5000  0.5768
Hg  0.2500  0.5000  0.1901
Hg  0.3796  0.5000  0.5768
Hg  0.6204  0.5000  0.4232
Hg  0.7500  0.5000  0.8099
Hg  0.8796  0.5000  0.4232

Values from the calculation:
symmetry = No. 51
DFT formation energy = -0.208 eV per atom

---

(12)
Here is crystalline P2IrCS at its relaxed geometry from the Alexandria database. Energies are from PBE-GGA.

Cell lengths 4.4680, 4.4680, 5.0680 Å; angles 90.00, 90.00, 90.00 degrees
Fractional positions:
P  0.0000  0.5000  0.0000
P  0.5000  0.0000  0.0000
Ir  0.0000  0.0000  0.0000
C  0.5000  0.5000  0.5000
S  0.0000  0.0000  0.5000

Values from the calculation:
symmetry = No. 123
E_form (uncorrected) = 1.929 eV/atom

---

(13)
Here is crystalline Zn2FeRe at its relaxed geometry from the Alexandria database. Energies are from PBE-GGA.

Cell lengths 4.5070, 4.5070, 4.5070 Å; angles 129.23, 129.23, 74.64 degrees
Fractional positions:
Zn  0.0000  0.0000  0.0000
Zn  0.7500  0.2500  0.5000
Fe  0.2500  0.7500  0.5000
Re  0.5000  0.5000  0.0000

Values from the calculation:
symmetry = No. 119
DFT formation energy = 0.274 eV per atom

---

(14)
Here is crystalline ScRe3 at its relaxed geometry from the Alexandria database. Energies are from PBE-GGA.

Cell lengths 4.6764, 5.3247, 5.1931 Å; angles 90.00, 90.00, 90.00 degrees
Fractional positions:
Sc  0.2500  0.2500  0.1323
Sc  0.7500  0.7500  0.8677
Re  0.2500  0.5159  0.6407
Re  0.2500  0.7500  0.1662
Re  0.2500  0.9841  0.6407
Re  0.7500  0.0159  0.3593
Re  0.7500  0.2500  0.8338
Re  0.7500  0.4841  0.3593

Values from the calculation:
symmetry = No. 59
DFT formation energy = 0.192 eV per atom

---

(15)
Here is crystalline PdPt at its relaxed geometry from the Alexandria database. Energies are from PBE-GGA.

Cell lengths 4.3926, 4.3926, 5.2142 Å; angles 90.00, 90.00, 120.00 degrees
Fractional positions:
Pd  0.3333  0.6667  0.2500
Pd  0.6667  0.3333  0.7500
Pt  0.3333  0.6667  0.7500
Pt  0.6667  0.3333  0.2500

Values from the calculation:
symmetry = No. 194
DFT formation energy = 0.775 eV per atom

---

(16)
Here is crystalline Ho8TmTh4 at its relaxed geometry from the Alexandria database. Energies are from PBE-GGA.

Cell lengths 9.8287, 9.8287, 9.8287 Å; angles 43.97, 43.97, 43.97 degrees
Fractional positions:
Ho  0.1920  0.7507  0.7507
Ho  0.2198  0.2198  0.2198
Ho  0.2493  0.2493  0.8080
Ho  0.2493  0.8080  0.2493
Ho  0.7507  0.1920  0.7507
Ho  0.7507  0.7507  0.1920
Ho  0.7802  0.7802  0.7802
Ho  0.8080  0.2493  0.2493
Tm  0.5000  0.5000  0.5000
Th  0.0000  0.0000  0.0000
Th  0.0000  0.5000  0.5000
Th  0.5000  0.0000  0.5000
Th  0.5000  0.5000  0.0000

Values from the calculation:
symmetry = No. 166
DFT formation energy = 0.225 eV per atom

---

(17)
Here is crystalline La4Mg at its relaxed geometry from the Alexandria database. Energies are from PBE-GGA.

Cell lengths 12.3788, 12.3788, 12.3788 Å; angles 162.38, 162.38, 25.02 degrees
Fractional positions:
La  0.0893  0.0893  0.0000
La  0.3040  0.3040  0.0000
La  0.6960  0.6960  0.0000
La  0.9107  0.9107  0.0000
Mg  0.5000  0.5000  0.0000

Values from the calculation:
symmetry = No. 139
DFT formation energy = -0.033 eV per atom

---

(18)
Here is crystalline Cr2SbPt at its relaxed geometry from the Alexandria database. Energies are from PBE-GGA.

Cell lengths 4.0067, 4.0067, 3.9193 Å; angles 90.00, 90.00, 90.00 degrees
Fractional positions:
Cr  0.0000  0.5000  0.0000
Cr  0.5000  0.0000  0.0000
Sb  0.0000  0.0000  0.5000
Pt  0.5000  0.5000  0.5000

Values from the calculation:
symmetry = No. 123
E_form (uncorrected) = 0.056 eV/atom

---

(19)
Here is crystalline LaSm3Er4 at its relaxed geometry from the Alexandria database. Energies are from PBE-GGA.

Cell lengths 8.9487, 8.9487, 8.9487 Å; angles 157.94, 98.85, 85.38 degrees
Fractional positions:
La  0.0000  0.0000  0.0000
Sm  0.2428  0.7428  0.5000
Sm  0.5000  0.5000  0.0000
Sm  0.7572  0.2572  0.5000
Er  0.1154  0.8645  0.2509
Er  0.3865  0.1355  0.2509
Er  0.6135  0.8645  0.7491
Er  0.8846  0.1355  0.7491

Values from the calculation:
symmetry = No. 71
DFT formation energy = 0.140 eV per atom

---

(20)
Here is crystalline Sr2SiO4 at its relaxed geometry from the Alexandria database. Energies are from PBE-GGA.

Cell lengths 5.7517, 7.1603, 11.1148 Å; angles 90.00, 117.76, 90.00 degrees
Fractional positions:
Sr  0.0278  0.0015  0.3019
Sr  0.0278  0.4985  0.8019
Sr  0.3112  0.6599  0.5754
Sr  0.3112  0.8401  0.0754
Sr  0.6888  0.1599  0.9246
Sr  0.6888  0.3401  0.4246
Sr  0.9722  0.5015  0.1981
Sr  0.9722  0.9985  0.6981
Si  0.3405  0.2212  0.5815
Si  0.3405  0.2788  0.0815
Si  0.6595  0.7212  0.9185
Si  0.6595  0.7788  0.4185
O  0.1541  0.1759  0.1396
O  0.1541  0.3241  0.6396
O  0.2515  0.1809  0.9301
O  0.2515  0.3191  0.4301
O  0.2862  0.5036  0.0676
O  0.2862  0.9964  0.5676
O  0.3450  0.7359  0.3190
O  0.3450  0.7641  0.8190
O  0.6550  0.2359  0.1810
O  0.6550  0.2641  0.6810
O  0.7138  0.0036  0.4324
O  0.7138  0.4964  0.9324
O  0.7485  0.6809  0.5699
O  0.7485  0.8191  0.0699
O  0.8459  0.6759  0.3604
O  0.8459  0.8241  0.8604

Values from the calculation:
symmetry = No. 14
E_form (uncorrected) = -3.026 eV/atom